# Ca3Si2Ni4, optimized geometry, DFT PBE-GGA
# Fermi-level density of states	0.48	states/eV per atom
# symmetry	C2/m
# raw formation energy	-0.491	eV per atom
data_Ca3Si2Ni4
_chemical_formula_sum 'Ca3 Si2 Ni4'
_cell_length_a 3.961
_cell_length_b 5.545
_cell_length_c 8.128
_cell_angle_alpha 101.93
_cell_angle_beta 90.00
_cell_angle_gamma 110.92
_space_group_name_H-M_alt 'P 1'
_space_group_IT_number 1
_space_group_name_Hall 'P 1'
loop_
_atom_site_label
_atom_site_type_symbol
_atom_site_fract_x
_atom_site_fract_y
_atom_site_fract_z
_atom_site_occupancy
Si1 Si 0.321 0.642 0.212 1
Ni1 Ni 0.906 0.812 0.356 1
Ni2 Ni 0.094 0.188 0.644 1
Ca1 Ca 0.621 0.241 0.383 1
Ca2 Ca 0.379 0.759 0.617 1
Ni3 Ni 0.261 0.522 0.915 1
Si2 Si 0.679 0.358 0.788 1
Ca3 Ca 0.000 0.000 0.000 1
Ni4 Ni 0.739 0.478 0.085 1